Na2AgHgF4 | PBE | relaxed

Cell and atoms, written as extended XYZ:
```
8
Lattice="4.969 0.115 0.000 -0.426 4.952 0.000 -2.272 -2.533 5.008" Properties=species:S:1:pos:R:3 pbc="T T T"
F -0.250 -0.278 2.588
F 1.511 4.862 0.000
F 4.669 2.030 0.000
F 2.022 2.255 2.420
Ag 2.148 2.396 0.000
Na 2.206 -0.253 2.504
Na -0.492 2.165 2.504
Hg 4.074 4.544 0.000
```

Properties
calculated total energy = -27.56 eV/cell
total moment = 0.0 Bohr magnetons per cell
SG = Fmm2, No. 42